Entry 1:
Below is a PBEsol-optimized structure of CuCl2, with properties calculated at the meta-GGA SCAN level.

Cell: 3.2628 6.0825 6.9290 Å, 90.00 103.62 90.00°
With the nearest neighbours (Å) after each atom.
Positions (direct):
Cu  0.6852  0.2500  0.3704  4 Cl 2.23-2.27
Cu  0.3148  0.7500  0.6296  4 Cl 2.23-2.27
Cl  0.3021  0.2500  0.6042  2 Cu 2.27
Cl  0.0722  0.2500  0.1444  2 Cu 2.23
Cl  0.6979  0.7500  0.3958  2 Cu 2.27
Cl  0.9278  0.7500  0.8556  2 Cu 2.23

Summary:
SG: No. 63
Volume: 22.275 Å³ per atom
Electronic total energy: -11.06 eV/atom
Formation energy without anion corrections: -64.97 kJ/mol of atoms
Theoretical density: 3.3 g/cm3
Size of the total moment: 0.333 μB/atom



Entry 2:
Below is a PBEsol-optimized structure of BaTa3Cu, with properties calculated at the meta-GGA SCAN level.

Cell: 4.8095 4.8095 4.8095 Å, 90.00 90.00 90.00°
With the nearest neighbours (Å) after each atom.
Positions (direct):
Cu  0.0000  0.0000  0.0000  6 Ta 2.40
Ta  0.0000  0.5000  0.0000  2 Cu 2.40
Ta  0.5000  0.0000  0.0000  2 Cu 2.40
Ta  0.0000  0.0000  0.5000  2 Cu 2.40
Ba  0.5000  0.5000  0.5000  12 Ta 3.40

Summary:
SG: No. 221
Volume: 22.250 Å³ per atom
DOS at the Fermi energy: 1.782 states/eV per atom
Electronic total energy: -49.34 eV/atom
Theoretical density: 11.1 g/cm3
Size of the total moment: 0.001 μB/atom
Energy of formation: 1.5570 eV per atom



Entry 3:
Below is a PBEsol-optimized structure of Dy2MgCu2, with properties calculated at the meta-GGA SCAN level.

Cell: 3.5707 7.5522 7.5522 Å, 90.00 90.00 90.00°
With the nearest neighbours (Å) after each atom.
Positions (direct):
Dy  0.5000  0.1690  0.3310  6 Cu 2.85-2.86
Dy  0.5000  0.6690  0.1690  6 Cu 2.85-2.86
Dy  0.5000  0.8310  0.6690  6 Cu 2.85-2.86
Dy  0.5000  0.3310  0.8310  6 Cu 2.85-2.86
Cu  0.0000  0.6228  0.8772  1 Cu 2.62, 6 Dy 2.85-2.86
Cu  0.0000  0.8772  0.3772  1 Cu 2.62, 6 Dy 2.85-2.86
Cu  0.0000  0.3772  0.1228  1 Cu 2.62, 6 Dy 2.85-2.86
Cu  0.0000  0.1228  0.6228  1 Cu 2.62, 6 Dy 2.85-2.86
Mg  0.0000  0.5000  0.5000  4 Cu 3.00, 8 Dy 3.33
Mg  0.0000  0.0000  0.0000  4 Cu 3.00, 8 Dy 3.33

Summary:
SG: No. 127
Volume: 20.366 Å³ per atom
DOS at the Fermi energy: 0.815 states/eV per atom
Electronic total energy: -26.48 eV/atom
Theoretical density: 7.8 g/cm3
Size of the total moment: 0.000 μB/atom
Energy of formation: -0.2860 eV per atom



Entry 4:
Below is a PBEsol-optimized structure of Cu2TeW, with properties calculated at the meta-GGA SCAN level.

Cell: 3.1303 4.3730 5.2406 Å, 114.66 107.38 90.00°
With the nearest neighbours (Å) after each atom.
Positions (direct):
Te  0.5000  0.0000  0.0000  4 W 2.69, 4 Cu 2.73
W  0.0000  0.5000  0.0000  4 Te 2.69, 4 Cu 2.75
Cu  0.2481  0.2481  0.4962  4 Cu 2.69, 2 Te 2.73, 2 W 2.75
Cu  0.7519  0.7519  0.5038  4 Cu 2.69, 2 Te 2.73, 2 W 2.75

Summary:
SG: No. 71
Volume: 15.394 Å³ per atom
DOS at the Fermi energy: 0.486 states/eV per atom
Electronic total energy: -33.62 eV/atom
Formation energy without anion corrections: 68.89 kJ/mol of atoms
Theoretical density: 11.8 g/cm3
Size of the total moment: 0.000 μB/atom